Below is a relaxed MnV8W2 crystal, with properties calculated at the PBE level.

Cell and atoms, written as CIF:
```
data_MnV8W2
_cell_length_a 9.9788
_cell_length_b 8.1204
_cell_length_c 4.6633
_cell_angle_alpha 90.00
_cell_angle_beta 113.96
_cell_angle_gamma 90.00
_symmetry_space_group_name_H-M 'C 1 2/m 1'
_symmetry_Int_Tables_number 12
_symmetry_space_group_name_Hall '-C 2y'
loop_
_atom_site_label
_atom_site_type_symbol
_atom_site_fract_x
_atom_site_fract_y
_atom_site_fract_z
Mn1 Mn 0.0000 0.0000 0.0000
V1 V 0.0680 0.5000 0.2850
V2 V 0.0895 0.2477 0.8558
V3 V 0.2252 0.5000 0.8772
W1 W 0.1388 0.0000 0.5493
```

E above lowest polymorph: 39.3 kJ/mol of atoms
energy of formation: 620 meV per atom
total magnetic moment: 0.0 Bohr magnetons per cell
DOS at the Fermi energy: 1.11 states/eV/atom

=====

Below is a relaxed Mn5V4W crystal, with properties calculated at the PBE level.

Cell and atoms, written as CIF:
```
data_Mn5V4W
_cell_length_a 2.8957
_cell_length_b 2.8957
_cell_length_c 14.5572
_cell_angle_alpha 90.00
_cell_angle_beta 90.00
_cell_angle_gamma 90.00
_symmetry_space_group_name_H-M 'P 4/m m m'
_symmetry_Int_Tables_number 123
_symmetry_space_group_name_Hall '-P 4 2'
loop_
_atom_site_label
_atom_site_type_symbol
_atom_site_fract_x
_atom_site_fract_y
_atom_site_fract_z
Mn1 Mn 0.0000 0.0000 0.0000
Mn2 Mn 0.0000 0.0000 0.1970
Mn3 Mn 0.0000 0.0000 0.3920
V1 V 0.5000 0.5000 0.0981
V2 V 0.5000 0.5000 0.2942
W1 W 0.5000 0.5000 0.5000
```

energy of formation: -201 meV per atom
total magnetic moment: 0.0 Bohr magnetons per cell
DOS at the Fermi energy: 0.44 states/eV/atom

=====

Below is a relaxed MnVW2 crystal, with properties calculated at the PBE level.

Cell and atoms, written as CIF:
```
data_MnVW2
_cell_length_a 6.8643
_cell_length_b 6.8643
_cell_length_c 5.2182
_cell_angle_alpha 90.00
_cell_angle_beta 90.00
_cell_angle_gamma 90.00
_symmetry_space_group_name_H-M 'I -4 2 d'
_symmetry_Int_Tables_number 122
_symmetry_space_group_name_Hall 'I -4 2bw'
loop_
_atom_site_label
_atom_site_type_symbol
_atom_site_fract_x
_atom_site_fract_y
_atom_site_fract_z
Mn1 Mn 0.0000 0.0000 0.0000
V1 V 0.0000 0.0000 0.5000
W1 W 0.2328 0.2500 0.1250
```

E above lowest polymorph: 76.5 kJ/mol of atoms
energy of formation: 776 meV per atom
total magnetic moment: 4.6 Bohr magnetons per cell
DOS at the Fermi energy: 1.19 states/eV/atom

=====

Below is a relaxed Mn3V2W crystal, with properties calculated at the PBE level.

Cell and atoms, written as CIF:
```
data_Mn3V2W
_cell_length_a 2.9060
_cell_length_b 2.9060
_cell_length_c 8.8286
_cell_angle_alpha 90.00
_cell_angle_beta 90.00
_cell_angle_gamma 90.00
_symmetry_space_group_name_H-M 'P 4/m m m'
_symmetry_Int_Tables_number 123
_symmetry_space_group_name_Hall '-P 4 2'
loop_
_atom_site_label
_atom_site_type_symbol
_atom_site_fract_x
_atom_site_fract_y
_atom_site_fract_z
Mn1 Mn 0.0000 0.0000 0.0000
Mn2 Mn 0.0000 0.0000 0.3215
V1 V 0.5000 0.5000 0.1614
W1 W 0.5000 0.5000 0.5000
```

energy of formation: -151 meV per atom
total magnetic moment: 0.0 Bohr magnetons per cell
DOS at the Fermi energy: 0.53 states/eV/atom

=====

Below is a relaxed MnV8W2 crystal, with properties calculated at the PBE level.

Cell and atoms, written as CIF:
```
data_MnV8W2
_cell_length_a 11.9709
_cell_length_b 4.3446
_cell_length_c 6.9415
_cell_angle_alpha 90.00
_cell_angle_beta 120.10
_cell_angle_gamma 90.00
_symmetry_space_group_name_H-M 'C 1 2/m 1'
_symmetry_Int_Tables_number 12
_symmetry_space_group_name_Hall '-C 2y'
loop_
_atom_site_label
_atom_site_type_symbol
_atom_site_fract_x
_atom_site_fract_y
_atom_site_fract_z
Mn1 Mn 0.0000 0.0000 0.0000
V1 V 0.0459 0.5000 0.8645
V2 V 0.0660 0.0000 0.3861
V3 V 0.1818 0.0000 0.9267
V4 V 0.1992 0.5000 0.3001
W1 W 0.1443 0.5000 0.6161
```

E above lowest polymorph: 0.0 kJ/mol of atoms
energy of formation: 213 meV per atom
total magnetic moment: 0.0 Bohr magnetons per cell
DOS at the Fermi energy: 1.26 states/eV/atom

=====

Below is a relaxed Mn4V3W crystal, with properties calculated at the PBE level.

Cell and atoms, written as CIF:
```
data_Mn4V3W
_cell_length_a 2.9149
_cell_length_b 4.1226
_cell_length_c 8.2064
_cell_angle_alpha 90.00
_cell_angle_beta 90.00
_cell_angle_gamma 90.00
_symmetry_space_group_name_H-M 'P m m m'
_symmetry_Int_Tables_number 47
_symmetry_space_group_name_Hall '-P 2 2'
loop_
_atom_site_label
_atom_site_type_symbol
_atom_site_fract_x
_atom_site_fract_y
_atom_site_fract_z
Mn1 Mn 0.0000 0.0000 0.0000
Mn2 Mn 0.0000 0.0000 0.5000
Mn3 Mn 0.0000 0.5000 0.2444
V1 V 0.5000 0.0000 0.2437
V2 V 0.5000 0.5000 0.0000
W1 W 0.5000 0.5000 0.5000
```

energy of formation: -183 meV per atom
total magnetic moment: 0.0 Bohr magnetons per cell
DOS at the Fermi energy: 0.40 states/eV/atom

=====

Below is a relaxed Mn2V6W crystal, with properties calculated at the PBE level.

Cell and atoms, written as CIF:
```
data_Mn2V6W
_cell_length_a 9.3911
_cell_length_b 2.9524
_cell_length_c 8.9269
_cell_angle_alpha 90.00
_cell_angle_beta 108.62
_cell_angle_gamma 90.00
_symmetry_space_group_name_H-M 'C 1 2/m 1'
_symmetry_Int_Tables_number 12
_symmetry_space_group_name_Hall '-C 2y'
loop_
_atom_site_label
_atom_site_type_symbol
_atom_site_fract_x
_atom_site_fract_y
_atom_site_fract_z
Mn1 Mn 0.1686 0.0000 0.2259
V1 V 0.0047 0.5000 0.3328
V2 V 0.1685 0.0000 0.5589
V3 V 0.1706 0.0000 0.8845
W1 W 0.0000 0.5000 0.0000
```

energy of formation: -127 meV per atom
total magnetic moment: 0.0 Bohr magnetons per cell
DOS at the Fermi energy: 0.85 states/eV/atom

=====

Below is a relaxed MnVW2 crystal, with properties calculated at the PBE level.

Cell and atoms, written as CIF:
```
data_MnVW2
_cell_length_a 4.2988
_cell_length_b 4.2988
_cell_length_c 3.0415
_cell_angle_alpha 90.00
_cell_angle_beta 90.00
_cell_angle_gamma 90.00
_symmetry_space_group_name_H-M 'P 4/m m m'
_symmetry_Int_Tables_number 123
_symmetry_space_group_name_Hall '-P 4 2'
loop_
_atom_site_label
_atom_site_type_symbol
_atom_site_fract_x
_atom_site_fract_y
_atom_site_fract_z
Mn1 Mn 0.0000 0.0000 0.0000
V1 V 0.5000 0.5000 0.0000
W1 W 0.0000 0.5000 0.5000
```

E above lowest polymorph: 0.0 kJ/mol of atoms
energy of formation: -18 meV per atom
total magnetic moment: 0.0 Bohr magnetons per cell
DOS at the Fermi energy: 0.81 states/eV/atom

=====

Below is a relaxed Mn2V2W crystal, with properties calculated at the PBE level.

Cell and atoms, written as CIF:
```
data_Mn2V2W
_cell_length_a 6.8226
_cell_length_b 6.8226
_cell_length_c 2.8186
_cell_angle_alpha 90.00
_cell_angle_beta 90.00
_cell_angle_gamma 90.00
_symmetry_space_group_name_H-M 'P 4/m b m'
_symmetry_Int_Tables_number 127
_symmetry_space_group_name_Hall '-P 4 2ab'
loop_
_atom_site_label
_atom_site_type_symbol
_atom_site_fract_x
_atom_site_fract_y
_atom_site_fract_z
Mn1 Mn 0.1410 0.3590 0.0000
V1 V 0.1575 0.6575 0.5000
W1 W 0.0000 0.0000 0.0000
```

energy of formation: 196 meV per atom
total magnetic moment: 1.1 Bohr magnetons per cell
DOS at the Fermi energy: 1.49 states/eV/atom

=====

Below is a relaxed Mn2V8W crystal, with properties calculated at the PBE level.

Cell and atoms, written as CIF:
```
data_Mn2V8W
_cell_length_a 8.1258
_cell_length_b 8.0857
_cell_length_c 4.9704
_cell_angle_alpha 90.00
_cell_angle_beta 98.57
_cell_angle_gamma 90.00
_symmetry_space_group_name_H-M 'C 1 2/m 1'
_symmetry_Int_Tables_number 12
_symmetry_space_group_name_Hall '-C 2y'
loop_
_atom_site_label
_atom_site_type_symbol
_atom_site_fract_x
_atom_site_fract_y
_atom_site_fract_z
Mn1 Mn 0.1411 0.0000 0.4627
V1 V 0.0855 0.5000 0.3549
V2 V 0.1537 0.2371 0.7217
V3 V 0.1928 0.5000 0.9500
W1 W 0.0000 0.0000 0.0000
```

energy of formation: 555 meV per atom
total magnetic moment: 0.0 Bohr magnetons per cell
DOS at the Fermi energy: 1.18 states/eV/atom

=====

Below is a relaxed MnVW2 crystal, with properties calculated at the PBE level.

Cell and atoms, written as CIF:
```
data_MnVW2
_cell_length_a 6.0799
_cell_length_b 6.0799
_cell_length_c 6.0799
_cell_angle_alpha 90.00
_cell_angle_beta 90.00
_cell_angle_gamma 90.00
_symmetry_space_group_name_H-M 'F m -3 m'
_symmetry_Int_Tables_number 225
_symmetry_space_group_name_Hall '-F 4 2 3'
loop_
_atom_site_label
_atom_site_type_symbol
_atom_site_fract_x
_atom_site_fract_y
_atom_site_fract_z
Mn1 Mn 0.0000 0.0000 0.0000
V1 V 0.0000 0.0000 0.5000
W1 W 0.2500 0.2500 0.2500
```

E above lowest polymorph: 1.2 kJ/mol of atoms
energy of formation: -6 meV per atom
total magnetic moment: 0.0 Bohr magnetons per cell
DOS at the Fermi energy: 0.80 states/eV/atom

=====

Below is a relaxed Y2Mn16V crystal, with properties calculated at the PBE level.

Cell and atoms, written as CIF:
```
data_Y2Mn16V
_cell_length_a 8.6657
_cell_length_b 8.6657
_cell_length_c 11.6822
_cell_angle_alpha 90.00
_cell_angle_beta 90.00
_cell_angle_gamma 120.00
_symmetry_space_group_name_H-M 'R 3 m'
_symmetry_Int_Tables_number 160
_symmetry_space_group_name_Hall 'R 3 -2"'
loop_
_atom_site_label
_atom_site_type_symbol
_atom_site_fract_x
_atom_site_fract_y
_atom_site_fract_z
Y1 Y 0.0000 0.0000 0.0000
Y2 Y 0.0000 0.0000 0.2928
Mn1 Mn 0.0000 0.0000 0.7482
Mn2 Mn 0.0005 0.5002 0.1460
Mn3 Mn 0.0007 0.2768 0.6471
Mn4 Mn 0.0134 0.5067 0.5083
Mn5 Mn 0.1725 0.3451 0.1170
V1 V 0.0000 0.0000 0.5509
```

energy of formation: -6 meV per atom
total magnetic moment: 18.2 Bohr magnetons per cell
DOS at the Fermi energy: 1.14 states/eV/atom

=====

For reference, calculated total energy by record: -9.20, -9.73, -10.27, -9.93, -9.61, -9.81, -9.68, -11.07, -9.71, -8.92, -11.05, -8.89 eV per atom.